# 1
Below is a relaxed Ce4MgSn3 crystal, with properties calculated at the PBE-GGA level.

Computed properties:
Formation energy from the elements: -3.12 eV per formula unit
Volume: 242.6 Å³ per cell

Cell lengths 4.478, 4.558, 11.888 Å; angles 90.00, 90.00, 90.00 degrees
Space group Pmm2 (No. 25)
One atom of each set of equivalent atoms:
Ce1 0.000 0.000 0.000
Ce2 0.000 0.500 0.494
Ce3 0.500 0.000 0.715
Ce4 0.500 0.500 0.217
Mg1 0.000 0.500 0.783
Sn1 0.000 0.000 0.269
Sn2 0.500 0.000 0.444
Sn3 0.500 0.500 0.939

***

# 2
Below is a relaxed Sr2RuW crystal, with properties calculated at the PBE-GGA level.

Computed properties:
Formation energy from the elements: 1.35 eV per formula unit
Volume: 267.5 Å³ per cell
Energy above the lowest structure with this stoichiometry: 0 meV per atom

Cell lengths 7.290, 4.206, 9.031 Å; angles 90.00, 104.96, 90.00 degrees
Space group Cm (No. 8)
One atom of each set of equivalent atoms:
Sr1 0.000 0.000 0.000
Sr2 0.175 0.000 0.541
Ru1 0.428 0.000 0.291
W1 0.250 0.500 0.258

***

# 3
Below is a relaxed ScCo2OsRh crystal, with properties calculated at the PBE-GGA level.

Computed properties:
Formation energy from the elements: 8.41 eV per formula unit
Volume: 84.4 Å³ per cell

Cell lengths 4.254, 4.254, 4.662 Å; angles 90.00, 90.00, 90.00 degrees
Space group P4/mmm (No. 123)
One atom of each set of equivalent atoms:
Sc1 0.000 0.000 0.000
Co1 0.000 0.500 0.000
Os1 0.000 0.000 0.500
Rh1 0.500 0.500 0.500

***

# 4
Below is a relaxed Nd2ErIn3Se6 crystal, with properties calculated at the PBE-GGA level.

Computed properties:
Energy relative to the elements, uncorrected: -1492 kJ/mol of formula units
Volume: 719.8 Å³ per cell

Cell lengths 7.335, 12.698, 8.105 Å; angles 90.00, 107.54, 90.00 degrees
Space group C2/m (No. 12)
One atom of each set of equivalent atoms:
Nd1 0.000 0.167 0.000
Er1 0.000 0.500 0.000
In1 0.000 0.000 0.500
In2 0.000 0.331 0.500
Se1 0.232 0.339 0.211
Se2 0.249 0.000 0.214

***

# 5
Below is a relaxed Na3BiPt crystal, with properties calculated at the PBE-GGA level.

Computed properties:
Formation energy from the elements: 0.94 eV per formula unit
Volume: 157.8 Å³ per cell
Energy above the lowest structure with this stoichiometry: 376 meV per atom

Cell lengths 5.403, 5.403, 5.403 Å; angles 90.00, 90.00, 90.00 degrees
Space group Pm-3m (No. 221)
One atom of each set of equivalent atoms:
Na1 0.000 0.000 0.500
Bi1 0.500 0.500 0.500
Pt1 0.000 0.000 0.000

***

# 6
Below is a relaxed Tb3Ga3Pd2 crystal, with properties calculated at the PBE-GGA level.

Computed properties:
Formation energy from the elements: -6.14 eV per formula unit
Volume: 683.0 Å³ per cell

Cell lengths 8.156, 15.089, 5.550 Å; angles 90.00, 90.00, 90.00 degrees
Space group Pnma (No. 62)
One atom of each set of equivalent atoms:
Tb1 0.042 0.110 0.125
Tb2 0.186 0.250 0.628
Ga1 0.168 0.750 0.629
Ga2 0.190 0.036 0.611
Pd1 0.094 0.608 0.374